Entry 1:
Material: HgSb2Ru
Method: DFT, PBE-GGA
State: relaxed

Structure (extended XYZ):
```
4
Lattice="5.512 -0.029 0.000 2.166 5.069 0.000 -3.839 -2.520 3.049" Properties=species:S:1:pos:R:3 pbc="T T T"
Sb 1.083 2.535 1.525
Sb 0.000 0.000 0.000
Hg 3.839 2.520 0.000
Ru 2.756 -0.014 1.525
```

Values from the calculation:
size of the total moment	0.0	μB per cell
formation energy without anion corrections	0.53	eV/atom

=====

Entry 2:
Material: SrTlSeBr2
Method: DFT, PBE-GGA
State: relaxed

Structure (extended XYZ):
```
5
Lattice="-0.720 4.328 -3.779 -5.381 -1.843 -1.086 -1.887 3.163 3.983" Properties=species:S:1:pos:R:3 pbc="T T T"
Se -0.943 1.582 1.991
Tl 0.000 0.000 0.000
Br -0.360 2.164 -1.889
Br -2.691 -0.921 -0.543
Sr -3.994 2.825 -0.441
```

Values from the calculation:
energy above the most stable polymorph in this dataset	159	meV/atom
size of the total moment	0.0	μB per cell
formation energy without anion corrections	-0.86	eV/atom

=====

Entry 3:
Material: Li3Pt
Method: DFT, PBE-GGA
State: relaxed

Structure (extended XYZ):
```
4
Lattice="-2.311 1.379 0.836 0.084 -2.814 0.127 3.445 0.496 8.701" Properties=species:S:1:pos:R:3 pbc="T T T"
Li 3.341 0.481 8.439
Li 0.147 -1.292 2.539
Li 1.826 0.263 4.613
Pt 1.870 -1.044 6.889
```

Values from the calculation:
energy above the most stable polymorph in this dataset	145	meV/atom
size of the total moment	0.0	μB per cell
ΔE_f	-0.28	eV/atom

=====

Entry 4:
Material: SmPuHg5
Method: DFT, PBE-GGA
State: relaxed

Structure (extended XYZ):
```
7
Lattice="4.362 0.000 0.000 0.000 4.907 0.000 0.000 0.000 8.996" Properties=species:S:1:pos:R:3 pbc="T T T"
Sm 0.000 0.000 4.498
Hg 0.000 2.453 6.717
Hg 2.181 0.000 6.954
Hg 0.000 2.453 2.279
Hg 2.181 2.453 4.498
Hg 2.181 0.000 2.041
Pu 2.181 2.453 0.000
```

Values from the calculation:
size of the total moment	5.9	μB per cell
ΔE_f	-0.14	eV/atom